Record 1
! Nd12ZnCu6 PBE-GGA relaxed; values from VASP
! spin magnetization: 0.000 μB per formula unit
! total energy: -81.14 eV/cell
&SYSTEM
  ibrav = 0, nat = 19, ntyp = 3
/
ATOMIC_SPECIES
Nd 144.24 Nd.upf
Zn 65.41 Zn.upf
Cu 63.55 Cu.upf
CELL_PARAMETERS angstrom
6.5498 3.7815 3.8828
-6.5498 3.7815 3.8828
0.0000 -7.5630 3.8828
ATOMIC_POSITIONS crystal
Nd 0.0572 0.6722 0.9124
Nd 0.0876 0.9428 0.3278
Nd 0.1814 0.4082 0.5631
Nd 0.3278 0.0876 0.9428
Nd 0.4082 0.5631 0.1814
Nd 0.4369 0.8186 0.5918
Nd 0.5631 0.1814 0.4082
Nd 0.5918 0.4369 0.8186
Nd 0.6722 0.9124 0.0572
Nd 0.8186 0.5918 0.4369
Nd 0.9124 0.0572 0.6722
Nd 0.9428 0.3278 0.0876
Zn 0.0000 0.0000 0.0000
Cu 0.1379 0.6210 0.3206
Cu 0.3206 0.1379 0.6210
Cu 0.3790 0.6794 0.8621
Cu 0.6210 0.3206 0.1379
Cu 0.6794 0.8621 0.3790
Cu 0.8621 0.3790 0.6794

***

Record 2
! RbInSi PBE-GGA relaxed; values from VASP
! formation energy without anion corrections: 40 meV/atom
! spin magnetization: 0.000 μB per formula unit
&SYSTEM
  ibrav = 0, nat = 12, ntyp = 3
/
ATOMIC_SPECIES
Rb 85.47 Rb.upf
In 114.82 In.upf
Si 28.09 Si.upf
CELL_PARAMETERS angstrom
7.0765 0.0000 0.0000
0.0000 3.7852 0.0000
0.0000 0.0000 15.5366
ATOMIC_POSITIONS crystal
Rb 0.0654 0.2500 0.1299
Rb 0.4346 0.7500 0.6299
Rb 0.5654 0.2500 0.3701
Rb 0.9346 0.7500 0.8701
In 0.0629 0.7500 0.3495
In 0.4371 0.2500 0.8495
In 0.5629 0.7500 0.1505
In 0.9371 0.2500 0.6505
Si 0.1148 0.2500 0.4968
Si 0.3852 0.7500 0.9968
Si 0.6148 0.2500 0.0032
Si 0.8852 0.7500 0.5032

***

Record 3
! SmYCo10 PBE-GGA relaxed; values from VASP
! spin magnetization: 14.217 μB per formula unit
! total energy: -83.25 eV/cell
&SYSTEM
  ibrav = 0, nat = 12, ntyp = 3
/
ATOMIC_SPECIES
Sm 150.36 Sm.upf
Y 88.91 Y.upf
Co 58.93 Co.upf
CELL_PARAMETERS angstrom
3.9410 0.0000 0.0000
0.0000 4.9510 0.0000
0.0000 0.0000 8.5892
ATOMIC_POSITIONS crystal
Sm 0.0000 0.0000 0.0000
Y 0.0000 0.5000 0.5000
Co 0.0000 0.0000 0.3346
Co 0.0000 0.0000 0.6654
Co 0.0000 0.5000 0.1691
Co 0.0000 0.5000 0.8309
Co 0.5000 0.0000 0.5000
Co 0.5000 0.2521 0.2526
Co 0.5000 0.2521 0.7474
Co 0.5000 0.5000 0.0000
Co 0.5000 0.7479 0.2526
Co 0.5000 0.7479 0.7474

***

Record 4
! KLiTl2Br4 PBE-GGA relaxed; values from VASP
! formation energy without anion corrections: -1197 meV/atom
! spin magnetization: 0.000 μB per formula unit
&SYSTEM
  ibrav = 0, nat = 16, ntyp = 4
/
ATOMIC_SPECIES
K 39.10 K.upf
Li 6.94 Li.upf
Tl 204.38 Tl.upf
Br 79.90 Br.upf
CELL_PARAMETERS angstrom
-4.5831 4.6088 6.4403
4.5831 -4.6088 6.4403
4.5831 4.6088 -6.4403
ATOMIC_POSITIONS crystal
K 0.5000 0.0000 0.0000
K 0.5000 0.5000 0.5000
Li 0.0000 0.0000 0.0000
Li 0.5000 0.0000 0.5000
Tl 0.0000 0.0000 0.5000
Tl 0.0000 0.5000 0.0000
Tl 0.0000 0.5000 0.5000
Tl 0.5000 0.5000 0.0000
Br 0.2196 0.2153 0.0043
Br 0.2520 0.2322 0.4803
Br 0.2520 0.7717 0.0197
Br 0.2890 0.7847 0.5043
Br 0.7110 0.2153 0.4957
Br 0.7480 0.2283 0.9803
Br 0.7480 0.7678 0.5197
Br 0.7804 0.7847 0.9957

***

Record 5
! LiLa2Dy PBE-GGA relaxed; values from VASP
! relative energy among the computed polymorphs: 4 meV per atom
! spin magnetization: 0.000 μB per formula unit
&SYSTEM
  ibrav = 0, nat = 4, ntyp = 3
/
ATOMIC_SPECIES
Li 6.94 Li.upf
La 138.91 La.upf
Dy 162.50 Dy.upf
CELL_PARAMETERS angstrom
3.7042 0.0000 0.0000
0.0000 3.7042 0.0000
0.0000 0.0000 9.3268
ATOMIC_POSITIONS crystal
Li 0.0000 0.0000 0.0000
La 0.5000 0.5000 0.2333
La 0.5000 0.5000 0.7667
Dy 0.0000 0.0000 0.5000

***

Record 6
! TlAg2BO4 PBE-GGA relaxed; values from VASP
! formation energy without anion corrections: -885 meV/atom
! spin magnetization: 0.000 μB per formula unit
&SYSTEM
  ibrav = 0, nat = 8, ntyp = 4
/
ATOMIC_SPECIES
Tl 204.38 Tl.upf
Ag 107.87 Ag.upf
B 10.81 B.upf
O 16.00 O.upf
CELL_PARAMETERS angstrom
-2.5075 2.5075 4.2868
2.5075 -2.5075 4.2868
2.5075 2.5075 -4.2868
ATOMIC_POSITIONS crystal
Tl 0.0000 0.0000 0.0000
Ag 0.2500 0.7500 0.5000
Ag 0.5000 0.5000 0.0000
B 0.7500 0.2500 0.5000
O 0.0110 0.1601 0.4778
O 0.4668 0.9890 0.1491
O 0.6823 0.5332 0.5222
O 0.8399 0.3177 0.8509